# LaCrSbO6

A relaxed LaCrSbO6 crystal (GGA+U, the Alexandria database).

abc: 5.2232 5.2232 10.4562
angles: 90.00 90.00 120.00
Positions (direct):
La1 0.0000 0.0000 0.0000
La2 0.0000 0.0000 0.5000
Cr1 0.3333 0.6667 0.2500
Cr2 0.6667 0.3333 0.7500
Sb1 0.3333 0.6667 0.7500
Sb2 0.6667 0.3333 0.2500
O1 0.0085 0.3726 0.1457
O2 0.0085 0.6360 0.3543
O3 0.3640 0.3726 0.3543
O4 0.3640 0.9915 0.1457
O5 0.3726 0.0085 0.6457
O6 0.3726 0.3640 0.8543
O7 0.6274 0.6360 0.1457
O8 0.6274 0.9915 0.3543
O9 0.6360 0.0085 0.8543
O10 0.6360 0.6274 0.6457
O11 0.9915 0.3640 0.6457
O12 0.9915 0.6274 0.8543

Computed properties:
ΔE to the lowest computed polymorph (meV/atom): 0
Symmetry: P-31c